Entry from the Alexandria database: crystalline CaHfWO6 at its relaxed geometry (PBE+U).

Computed properties:
* mass density: 6.6 Mg/m³
* total energy: -148.57 eV/cell
* DOS(E_F): 0.0 states/eV per cell

Unit cell a=5.3706 b=5.3706 c=10.0076 alpha=90.00 beta=90.00 gamma=120.00
With the nearest neighbours (Å) after each atom.
Element x y z (fractional)
Ca (0.0000, 0.0000, 0.0000)  6 O 2.43
Ca (0.0000, 0.0000, 0.5000)  6 O 2.43
Hf (0.3333, 0.6667, 0.2500)  6 O 2.09
Hf (0.6667, 0.3333, 0.7500)  6 O 2.09
W (0.3333, 0.6667, 0.7500)  6 O 1.96
W (0.6667, 0.3333, 0.2500)  6 O 1.96
O (0.0180, 0.3762, 0.6417)  1 W 1.96, 1 Hf 2.09
O (0.0180, 0.6418, 0.8583)  1 W 1.96, 1 Hf 2.09
O (0.3582, 0.3762, 0.8583)  1 W 1.96, 1 Hf 2.09
O (0.3582, 0.9820, 0.6417)  1 W 1.96, 1 Hf 2.09
O (0.3762, 0.0180, 0.1417)  1 W 1.96, 1 Hf 2.09
O (0.3762, 0.3582, 0.3583)  1 W 1.96, 1 Hf 2.09
O (0.6238, 0.6418, 0.6417)  1 W 1.96, 1 Hf 2.09
O (0.6238, 0.9820, 0.8583)  1 W 1.96, 1 Hf 2.09
O (0.6418, 0.0180, 0.3583)  1 W 1.96, 1 Hf 2.09
O (0.6418, 0.6238, 0.1417)  1 W 1.96, 1 Hf 2.09
O (0.9820, 0.3582, 0.1417)  1 W 1.96, 1 Hf 2.09
O (0.9820, 0.6238, 0.3583)  1 W 1.96, 1 Hf 2.09